Ho3AlGa: relaxed, PBE.

CIF file:
```
data_Ho3AlGa
_space_group_name_H-M_alt 'P 1 21/c 1'
_space_group_IT_number 14
_space_group_name_Hall '-P 2ybc'
_cell_length_a 7.2538
_cell_length_b 6.7186
_cell_length_c 10.3744
_cell_angle_alpha 90.00
_cell_angle_beta 100.51
_cell_angle_gamma 90.00
loop_
_atom_site_label
_atom_site_type_symbol
_atom_site_fract_x
_atom_site_fract_y
_atom_site_fract_z
_atom_site_occupancy
Ho1 Ho 0.1425 0.1641 0.4037 1
Ho2 Ho 0.2573 0.5196 0.6207 1
Ho3 Ho 0.3121 0.5046 0.2141 1
Al1 Al 0.4479 0.6936 0.9577 1
Ga1 Ga 0.0730 0.7309 0.3751 1
```

Values from the calculation:
Size of the total moment   0.0000 μB per atom
Energy of formation   -302 meV per atom

***

Ho3Al2Ga3: relaxed, PBE.

CIF file:
```
data_Ho3Al2Ga3
_space_group_name_H-M_alt 'C m c m'
_space_group_IT_number 63
_space_group_name_Hall '-C 2c 2'
_cell_length_a 4.3071
_cell_length_b 10.9128
_cell_length_c 14.4418
_cell_angle_alpha 90.00
_cell_angle_beta 90.00
_cell_angle_gamma 90.00
loop_
_atom_site_label
_atom_site_type_symbol
_atom_site_fract_x
_atom_site_fract_y
_atom_site_fract_z
_atom_site_occupancy
Ho1 Ho 0.0000 0.0732 0.1160 1
Ho2 Ho 0.0000 0.3577 0.2500 1
Al1 Al 0.0000 0.2173 0.5984 1
Ga1 Ga 0.0000 0.3543 0.7500 1
Ga2 Ga 0.0000 0.3889 0.0400 1
```

Values from the calculation:
Size of the total moment   0.0000 μB per atom
Energy of formation   -583 meV per atom

***

HoAl4Ga: relaxed, PBE.

CIF file:
```
data_HoAl4Ga
_space_group_name_H-M_alt 'I 41/a m d'
_space_group_IT_number 141
_cell_length_a 5.1482
_cell_length_b 5.1482
_cell_length_c 20.4200
_cell_angle_alpha 90.00
_cell_angle_beta 90.00
_cell_angle_gamma 90.00
loop_
_space_group_symop_operation_xyz
'x,y,z'
'-x,-y,-z'
'-y+1/4,x+3/4,z+1/4'
'y+1/4,-x+3/4,-z+1/4'
'-x+1/2,-y,z+1/2'
'x+1/2,y,-z+1/2'
'y+1/4,-x+1/4,z+3/4'
'-y+1/4,x+1/4,-z+3/4'
'x,-y,-z'
'-x,y,z'
'-y+1/4,-x+1/4,-z+3/4'
'y+1/4,x+1/4,z+3/4'
'-x+1/2,y,-z+1/2'
'x+1/2,-y,z+1/2'
'y+1/4,x+3/4,-z+1/4'
'-y+1/4,-x+3/4,z+1/4'
'x+1/2,y+1/2,z+1/2'
'-x+1/2,-y+1/2,-z+1/2'
'-y+3/4,x+1/4,z+3/4'
'y+3/4,-x+1/4,-z+3/4'
'-x,-y+1/2,z'
'x,y+1/2,-z'
'y+3/4,-x+3/4,z+1/4'
'-y+3/4,x+3/4,-z+1/4'
'x+1/2,-y+1/2,-z+1/2'
'-x+1/2,y+1/2,z+1/2'
'-y+3/4,-x+3/4,-z+1/4'
'y+3/4,x+3/4,z+1/4'
'-x,y+1/2,-z'
'x,-y+1/2,z'
'y+3/4,x+1/4,-z+3/4'
'-y+3/4,-x+1/4,z+3/4'
loop_
_atom_site_label
_atom_site_type_symbol
_atom_site_fract_x
_atom_site_fract_y
_atom_site_fract_z
_atom_site_occupancy
Ho1 Ho 0.0000 0.2500 0.3750 1
Al1 Al 0.0000 0.0047 0.2300 1
Ga1 Ga 0.0000 0.2500 0.8750 1
```

Values from the calculation:
Size of the total moment   0.0000 μB per atom
Energy of formation   107 meV per atom

***

Ho6Al2Ga: relaxed, PBE.

CIF file:
```
data_Ho6Al2Ga
_space_group_name_H-M_alt 'I m m m'
_space_group_IT_number 71
_space_group_name_Hall '-I 2 2'
_cell_length_a 4.9994
_cell_length_b 7.0687
_cell_length_c 14.9846
_cell_angle_alpha 90.00
_cell_angle_beta 90.00
_cell_angle_gamma 90.00
loop_
_atom_site_label
_atom_site_type_symbol
_atom_site_fract_x
_atom_site_fract_y
_atom_site_fract_z
_atom_site_occupancy
Ho1 Ho 0.0000 0.2471 0.0000 1
Ho2 Ho 0.0000 0.2512 0.3345 1
Al1 Al 0.0000 0.5000 0.1662 1
Ga1 Ga 0.0000 0.5000 0.5000 1
```

Values from the calculation:
Size of the total moment   0.0000 μB per atom
Energy of formation   -98 meV per atom